Here is a geometry-optimized TmLuZrCd structure from the Alexandria database. Energies are from GGA-PBE.

Calculated total energy = -4.5635 eV/atom
Magnetization = 2.0 μB per formula unit
Formation energy = 50 meV per atom
Space group = F-43m (216)
DOS(E_F) = 1.33 states/eV per atom

```
TmLuZrCd
1.0
5.2454 0.0000 0.0000
2.6227 4.5426 0.0000
2.6227 1.5142 4.2828
Lu Cd Zr Tm
1 1 1 1
Direct
0.2500 0.2500 0.2500
0.5000 0.5000 0.5000
0.0000 0.0000 0.0000
0.7500 0.7500 0.7500
```